Material: LaDyEr5
Method: DFT, GGA-PBE
State: relaxed

Results
M_tot, μB/cell: 0.003
Offset from the most stable computed form, meV per atom: 0.0
Calculated density, Mg/m³: 8.177

Cell: 7.072 8.825 8.825 Å, 80.63 66.34 66.34°
Sites, in units of the cell vectors:
Er: 0.963 0.287 0.287
Er: 0.250 0.000 0.500
Dy: 0.750 0.290 0.710
Dy: 0.250 0.710 0.290
Er: 0.037 0.713 0.713
Er: 0.537 0.713 0.713
Er: 0.750 0.711 0.289
La: 0.500 0.000 0.000
Er: 0.750 0.000 0.500
Er: 0.250 0.289 0.711
Er: 0.463 0.287 0.287
Er: 0.250 0.500 0.000
La: 0.000 0.000 0.000
Er: 0.750 0.500 0.000